First-principles (PBE) data for a relaxed Li2NdLu crystal, as listed in Alexandria.

Cell: 3.703 3.703 7.534 Å, 90.00 90.00 90.00°
Positions (direct):
1 Lu 0.500 0.500 0.000
2 Nd 0.500 0.500 0.500
3 Li 0.000 0.000 0.759
4 Li 0.000 0.000 0.241

## Properties
Theoretical density   5.35 g cm⁻³


First-principles (PBE) data for a relaxed LiNdLu crystal, as listed in Alexandria.

Cell: 3.688 3.688 6.676 Å, 106.04 106.04 90.00°
Positions (direct):
1 Lu 0.017 0.017 0.034
2 Nd 0.323 0.323 0.646
3 Li 0.660 0.660 0.321

## Properties
Theoretical density   6.48 g cm⁻³


| no. | electronic total energy (eV for the cell shown) |
| --- | --- |
| 1 | -12.50 |
| 2 | -10.94 |